A plane-wave DFT calculation with GGA-PBE was carried out for Lu2NiPd after structural relaxation.

```
4
Lattice="0.000 3.306 3.306 3.306 0.000 3.306 3.306 3.306 0.000" Properties=species:S:1:pos:R:3 pbc="T T T"
Lu 0.000 0.000 0.000
Lu 1.653 1.653 1.653
Ni 4.959 4.959 4.959
Pd 3.306 3.306 3.306
```

Values from the calculation:
Mass density   11.8 g/cm³
Spin magnetization   0.018 μB/f.u.
DFT total energy   -5.24 eV/atom